1.
# GGA-PBE SrCuH8Ir2, optimized geometry
# - Final energy: -4.3176 eV per atom
# - Density: 7.89 g/cm3
data_SrCuH8Ir2
_chemical_formula_sum 'Sr3 Cu3 H24 Ir6'
_symmetry_space_group_name_H-M 'R -3'
_symmetry_Int_Tables_number 148
_symmetry_space_group_name_Hall '-R 3'
_cell_length_a 4.7037
_cell_length_b 4.7037
_cell_length_c 17.9259
_cell_angle_alpha 90.00
_cell_angle_beta 90.00
_cell_angle_gamma 120.00
loop_
_atom_site_label
_atom_site_type_symbol
_atom_site_fract_x
_atom_site_fract_y
_atom_site_fract_z
Sr1 Sr 0.0000 0.0000 0.0000
Cu1 Cu 0.0000 0.0000 0.5000
H1 H 0.0000 0.0000 0.2987
H2 H 0.0112 0.6941 0.1143
Ir1 Ir 0.0000 0.0000 0.2072

2.
# GGA-PBE K2BaTiH, optimized geometry
# - Final energy: -2.5531 eV per atom
# - Density: 2.44 g/cm3
data_K2BaTiH
_chemical_formula_sum 'K2 Ba1 Ti1 H1'
_symmetry_space_group_name_H-M 'P 4/m m m'
_symmetry_Int_Tables_number 123
_symmetry_space_group_name_Hall '-P 4 2'
_cell_length_a 5.4919
_cell_length_b 5.4919
_cell_length_c 5.9648
_cell_angle_alpha 90.00
_cell_angle_beta 90.00
_cell_angle_gamma 90.00
loop_
_atom_site_label
_atom_site_type_symbol
_atom_site_fract_x
_atom_site_fract_y
_atom_site_fract_z
K1 K 0.0000 0.5000 0.0000
Ba1 Ba 0.0000 0.0000 0.5000
Ti1 Ti 0.5000 0.5000 0.5000
H1 H 0.0000 0.0000 0.0000

3.
# GGA-PBE MnVZn2Si, optimized geometry
# - Formation energy from raw total energies: 1.11 eV/atom
# - Density: 4.42 g/cm3
data_MnVZn2Si
_chemical_formula_sum 'Mn1 V1 Zn2 Si1'
_symmetry_space_group_name_H-M 'P 4/m m m'
_symmetry_Int_Tables_number 123
_symmetry_space_group_name_Hall '-P 4 2'
_cell_length_a 4.8550
_cell_length_b 4.8550
_cell_length_c 4.2196
_cell_angle_alpha 90.00
_cell_angle_beta 90.00
_cell_angle_gamma 90.00
loop_
_atom_site_label
_atom_site_type_symbol
_atom_site_fract_x
_atom_site_fract_y
_atom_site_fract_z
Mn1 Mn 0.0000 0.0000 0.0000
V1 V 0.0000 0.0000 0.5000
Zn1 Zn 0.0000 0.5000 0.5000
Si1 Si 0.5000 0.5000 0.0000

4.
# GGA-PBE ScNbCl2F, optimized geometry
# - Formation energy from raw total energies: -0.45 eV/atom
# - Density: 2.79 g/cm3
data_ScNbCl2F
_chemical_formula_sum 'Sc1 Nb1 Cl2 F1'
_symmetry_space_group_name_H-M 'P 4/m m m'
_symmetry_Int_Tables_number 123
_symmetry_space_group_name_Hall '-P 4 2'
_cell_length_a 4.7493
_cell_length_b 4.7493
_cell_length_c 6.0069
_cell_angle_alpha 90.00
_cell_angle_beta 90.00
_cell_angle_gamma 90.00
loop_
_atom_site_label
_atom_site_type_symbol
_atom_site_fract_x
_atom_site_fract_y
_atom_site_fract_z
Sc1 Sc 0.0000 0.0000 0.0000
Nb1 Nb 0.0000 0.0000 0.5000
Cl1 Cl 0.0000 0.5000 0.0000
F1 F 0.5000 0.5000 0.5000

5.
# GGA-PBE ZrTaRu2, optimized geometry
# - Final energy: -9.8688 eV per atom
# - Density: 11.55 g/cm3
data_ZrTaRu2
_chemical_formula_sum 'Zr1 Ta1 Ru2'
_symmetry_space_group_name_H-M 'P 4 m m'
_symmetry_Int_Tables_number 99
_cell_length_a 3.2418
_cell_length_b 3.2418
_cell_length_c 6.4871
_cell_angle_alpha 90.00
_cell_angle_beta 90.00
_cell_angle_gamma 90.00
loop_
_symmetry_equiv_pos_as_xyz
'x,y,z'
'-y,x,z'
'-x,-y,z'
'y,-x,z'
'-x,y,z'
'y,x,z'
'x,-y,z'
'-y,-x,z'
loop_
_atom_site_label
_atom_site_type_symbol
_atom_site_fract_x
_atom_site_fract_y
_atom_site_fract_z
Zr1 Zr 0.0000 0.0000 0.0000
Ta1 Ta 0.5000 0.5000 0.7054
Ru1 Ru 0.0000 0.0000 0.4993
Ru2 Ru 0.5000 0.5000 0.2183

6.
# GGA-PBE CeThTiN4, optimized geometry
# - Formation energy from raw total energies: -1.47 eV/atom
# - Density: 8.28 g/cm3
data_CeThTiN4
_chemical_formula_sum 'Ce4 Th4 Ti4 N16'
_symmetry_space_group_name_H-M 'C m c m'
_symmetry_Int_Tables_number 63
_symmetry_space_group_name_Hall '-C 2c 2'
_cell_length_a 5.5533
_cell_length_b 12.3348
_cell_length_c 5.5767
_cell_angle_alpha 90.00
_cell_angle_beta 90.00
_cell_angle_gamma 90.00
loop_
_atom_site_label
_atom_site_type_symbol
_atom_site_fract_x
_atom_site_fract_y
_atom_site_fract_z
Ce1 Ce 0.0000 0.1062 0.2500
Th1 Th 0.0000 0.3879 0.2500
Ti1 Ti 0.0000 0.2567 0.7500
N1 N 0.0000 0.0694 0.7500
N2 N 0.0000 0.4243 0.7500
N3 N 0.2500 0.2500 0.0000

Repeat the sixth record exactly.
# GGA-PBE CeThTiN4, optimized geometry
# - Formation energy from raw total energies: -1.47 eV/atom
# - Density: 8.28 g/cm3
data_CeThTiN4
_chemical_formula_sum 'Ce4 Th4 Ti4 N16'
_symmetry_space_group_name_H-M 'C m c m'
_symmetry_Int_Tables_number 63
_symmetry_space_group_name_Hall '-C 2c 2'
_cell_length_a 5.5533
_cell_length_b 12.3348
_cell_length_c 5.5767
_cell_angle_alpha 90.00
_cell_angle_beta 90.00
_cell_angle_gamma 90.00
loop_
_atom_site_label
_atom_site_type_symbol
_atom_site_fract_x
_atom_site_fract_y
_atom_site_fract_z
Ce1 Ce 0.0000 0.1062 0.2500
Th1 Th 0.0000 0.3879 0.2500
Ti1 Ti 0.0000 0.2567 0.7500
N1 N 0.0000 0.0694 0.7500
N2 N 0.0000 0.4243 0.7500
N3 N 0.2500 0.2500 0.0000

Repeat the fifth record exactly.
# GGA-PBE ZrTaRu2, optimized geometry
# - Final energy: -9.8688 eV per atom
# - Density: 11.55 g/cm3
data_ZrTaRu2
_chemical_formula_sum 'Zr1 Ta1 Ru2'
_symmetry_space_group_name_H-M 'P 4 m m'
_symmetry_Int_Tables_number 99
_cell_length_a 3.2418
_cell_length_b 3.2418
_cell_length_c 6.4871
_cell_angle_alpha 90.00
_cell_angle_beta 90.00
_cell_angle_gamma 90.00
loop_
_symmetry_equiv_pos_as_xyz
'x,y,z'
'-y,x,z'
'-x,-y,z'
'y,-x,z'
'-x,y,z'
'y,x,z'
'x,-y,z'
'-y,-x,z'
loop_
_atom_site_label
_atom_site_type_symbol
_atom_site_fract_x
_atom_site_fract_y
_atom_site_fract_z
Zr1 Zr 0.0000 0.0000 0.0000
Ta1 Ta 0.5000 0.5000 0.7054
Ru1 Ru 0.0000 0.0000 0.4993
Ru2 Ru 0.5000 0.5000 0.2183

Which formula does entry 3 have?
MnVZn2Si